1.
# YSc5Co4, relaxed, DFT PBE
# Calculated formation energy   -27 kJ per mole of atoms
# Calculated density   5.13 g cm⁻³
# DOS(E_F)   0.478 states/eV per atom
data_YSc5Co4
_chemical_formula_sum 'Y1 Sc5 Co4'
_symmetry_space_group_name_H-M 'P 1'
_symmetry_Int_Tables_number 1
_symmetry_space_group_name_Hall 'P 1'
_cell_length_a 3.144
_cell_length_b 3.144
_cell_length_c 17.988
_cell_angle_alpha 90.00
_cell_angle_beta 90.00
_cell_angle_gamma 90.00
loop_
_atom_site_label
_atom_site_type_symbol
_atom_site_fract_x
_atom_site_fract_y
_atom_site_fract_z
Y1 Y 0.000 0.000 0.000
Sc1 Sc 0.500 0.500 0.156
Sc2 Sc 0.500 0.500 0.327
Sc3 Sc 0.500 0.500 0.500
Sc4 Sc 0.500 0.500 0.673
Sc5 Sc 0.500 0.500 0.844
Co1 Co 0.000 0.000 0.237
Co2 Co 0.000 0.000 0.413
Co3 Co 0.000 0.000 0.587
Co4 Co 0.000 0.000 0.763

2.
# YSc3Co, relaxed, DFT PBE
# Relative energy among the computed polymorphs   0.001 eV per atom
# Calculated formation energy   -9 kJ per mole of atoms
# Calculated density   4.15 g cm⁻³
# DOS(E_F)   1.281 states/eV per atom
data_YSc3Co
_chemical_formula_sum 'Y2 Sc6 Co2'
_symmetry_space_group_name_H-M 'P 1'
_symmetry_Int_Tables_number 1
_symmetry_space_group_name_Hall 'P 1'
_cell_length_a 4.822
_cell_length_b 7.715
_cell_length_c 6.080
_cell_angle_alpha 90.00
_cell_angle_beta 90.00
_cell_angle_gamma 90.00
loop_
_atom_site_label
_atom_site_type_symbol
_atom_site_fract_x
_atom_site_fract_y
_atom_site_fract_z
Y1 Y 0.250 0.250 0.096
Y2 Y 0.750 0.750 0.904
Sc1 Sc 0.250 0.542 0.672
Sc2 Sc 0.250 0.750 0.229
Sc3 Sc 0.250 0.958 0.672
Sc4 Sc 0.750 0.042 0.328
Sc5 Sc 0.750 0.250 0.771
Sc6 Sc 0.750 0.458 0.328
Co1 Co 0.250 0.250 0.548
Co2 Co 0.750 0.750 0.452

Question: Look up the calculated formation energy of the second one.
Answer: -9 kJ per mole of atoms

Repeat the first record exactly.
# YSc5Co4, relaxed, DFT PBE
# Calculated formation energy   -27 kJ per mole of atoms
# Calculated density   5.13 g cm⁻³
# DOS(E_F)   0.478 states/eV per atom
data_YSc5Co4
_chemical_formula_sum 'Y1 Sc5 Co4'
_symmetry_space_group_name_H-M 'P 1'
_symmetry_Int_Tables_number 1
_symmetry_space_group_name_Hall 'P 1'
_cell_length_a 3.144
_cell_length_b 3.144
_cell_length_c 17.988
_cell_angle_alpha 90.00
_cell_angle_beta 90.00
_cell_angle_gamma 90.00
loop_
_atom_site_label
_atom_site_type_symbol
_atom_site_fract_x
_atom_site_fract_y
_atom_site_fract_z
Y1 Y 0.000 0.000 0.000
Sc1 Sc 0.500 0.500 0.156
Sc2 Sc 0.500 0.500 0.327
Sc3 Sc 0.500 0.500 0.500
Sc4 Sc 0.500 0.500 0.673
Sc5 Sc 0.500 0.500 0.844
Co1 Co 0.000 0.000 0.237
Co2 Co 0.000 0.000 0.413
Co3 Co 0.000 0.000 0.587
Co4 Co 0.000 0.000 0.763

Question: Among the records above, which one has the lowest calculated density?
Answer: YSc3Co